1.
Entry from Alexandria: a relaxed LaY2CdH crystal (PBE).

a b c (Å): 4.9798 4.9798 4.9005
angles (deg): 90.00 90.00 90.00
Space group P4/mmm (No. 123)
Inequivalent atoms, fractional coordinates:
La: 0.0000 0.0000 0.0000 [1 per cell]
Y: 0.0000 0.5000 0.5000 [2 per cell]
Cd: 0.5000 0.5000 0.0000 [1 per cell]
H: 0.0000 0.0000 0.5000 [1 per cell]

***

2.
Entry from Alexandria: a relaxed CsTePbSe2 crystal (PBE).

a b c (Å): 8.2057 6.8810 6.9943
angles (deg): 90.00 111.21 90.00
Space group P2/c (No. 13)
Inequivalent atoms, fractional coordinates:
Cs: 0.0000 0.2237 0.2500 [2 per cell]
Te: 0.5000 0.0000 0.0000 [2 per cell]
Pb: 0.5000 0.4417 0.2500 [2 per cell]
Se: 0.2515 0.2985 0.8308 [4 per cell]

Results
* uncorrected formation energy: -0.550 eV per atom

***

Here are the calculated M_tot numbers, same order: 0.0, 0.0 (μB/cell).
Here are the calculated final energy numbers, same order: -23.30, -34.84 (eV for the cell shown).